{
  "formula": "Pm2Y2S3",
  "functional": "PBE-GGA",
  "state": "optimized geometry",
  "sg": "C2/m, No. 12",
  "dft_energy_ev_per_atom": -6.703,
  "formation_energy_uncorrected_ev_per_atom": -1.73,
  "dos_ef_per_ev_fu": 3.6,
  "m_tot_mub_per_atom": 0.000,
  "lattice_angstrom": [[6.569, -1.981, 0.000], [6.569, 1.981, 0.000], [-1.389, 0.000, 6.651]],
  "species": ["Pm", "Pm", "Y", "Y", "S", "S", "S"],
  "fractional_positions": [[0.124, 0.124, 0.367], [0.876, 0.876, 0.633], [0.371, 0.371, 0.130], [0.629, 0.629, 0.870], [0.247, 0.247, 0.755], [0.500, 0.500, 0.500], [0.753, 0.753, 0.245]]
}


{
  "formula": "Pm6YS8",
  "functional": "PBE-GGA",
  "state": "optimized geometry",
  "sg": "Fm-3m, No. 225",
  "dft_energy_ev_per_atom": -6.596,
  "formation_energy_uncorrected_ev_per_atom": -2.06,
  "dos_ef_per_ev_fu": 7.0,
  "m_tot_mub_per_atom": 0.000,
  "lattice_angstrom": [[0.000, 5.684, 5.684], [5.684, 0.000, 5.684], [5.684, 5.684, 0.000]],
  "species": ["Pm", "Pm", "Pm", "Pm", "Pm", "Pm", "Y", "S", "S", "S", "S", "S", "S", "S", "S"],
  "fractional_positions": [[0.000, 0.000, 0.500], [0.000, 0.500, 0.000], [0.000, 0.500, 0.500], [0.500, 0.000, 0.000], [0.500, 0.000, 0.500], [0.500, 0.500, 0.000], [0.000, 0.000, 0.000], [0.245, 0.245, 0.755], [0.245, 0.755, 0.245], [0.245, 0.755, 0.755], [0.250, 0.250, 0.250], [0.750, 0.750, 0.750], [0.755, 0.245, 0.245], [0.755, 0.245, 0.755], [0.755, 0.755, 0.245]]
}


{
  "formula": "PmY3S4",
  "functional": "PBE-GGA",
  "state": "optimized geometry",
  "sg": "Pm-3m, No. 221",
  "e_above_lowest_polymorph_mev_per_atom": 15,
  "dft_energy_ev_per_atom": -7.069,
  "formation_energy_uncorrected_ev_per_atom": -1.99,
  "dos_ef_per_ev_fu": 4.6,
  "m_tot_mub_per_atom": 0.000,
  "lattice_angstrom": [[5.587, 0.000, 0.000], [0.000, 5.587, 0.000], [0.000, 0.000, 5.587]],
  "species": ["Pm", "Y", "Y", "Y", "S", "S", "S", "S"],
  "fractional_positions": [[0.000, 0.000, 0.000], [0.000, 0.500, 0.500], [0.500, 0.000, 0.500], [0.500, 0.500, 0.000], [0.000, 0.000, 0.500], [0.000, 0.500, 0.000], [0.500, 0.000, 0.000], [0.500, 0.500, 0.500]]
}


{
  "formula": "Pm3ZnS2",
  "functional": "PBE-GGA",
  "state": "optimized geometry",
  "sg": "Immm, No. 71",
  "dft_energy_ev_per_atom": -5.403,
  "formation_energy_uncorrected_ev_per_atom": -1.44,
  "dos_ef_per_ev_fu": 3.7,
  "m_tot_mub_per_atom": 0.000,
  "lattice_angstrom": [[-2.011, 2.899, 6.286], [2.011, -2.899, 6.286], [2.011, 2.899, -6.286]],
  "species": ["Pm", "Pm", "Pm", "Zn", "S", "S"],
  "fractional_positions": [[0.000, 0.000, 0.000], [0.323, 0.323, 0.000], [0.677, 0.677, 0.000], [0.500, 0.000, 0.500], [0.164, 0.664, 0.500], [0.836, 0.336, 0.500]]
}


{
  "formula": "Pm2ZnS",
  "functional": "PBE-GGA",
  "state": "optimized geometry",
  "sg": "P4/mmm, No. 123",
  "e_above_lowest_polymorph_mev_per_atom": 252,
  "dft_energy_ev_per_atom": -4.633,
  "formation_energy_uncorrected_ev_per_atom": -0.91,
  "dos_ef_per_ev_fu": 3.3,
  "m_tot_mub_per_atom": 0.000,
  "lattice_angstrom": [[3.582, 0.000, 0.000], [0.000, 3.582, 0.000], [0.000, 0.000, 7.153]],
  "species": ["Pm", "Pm", "Zn", "S"],
  "fractional_positions": [[0.000, 0.000, 0.240], [0.000, 0.000, 0.760], [0.500, 0.500, 0.500], [0.500, 0.500, 0.000]]
}


{
  "formula": "Pm2ZnS",
  "functional": "PBE-GGA",
  "state": "optimized geometry",
  "sg": "Cmcm, No. 63",
  "e_above_lowest_polymorph_mev_per_atom": 0,
  "dft_energy_ev_per_atom": -4.886,
  "formation_energy_uncorrected_ev_per_atom": -1.16,
  "dos_ef_per_ev_fu": 2.5,
  "m_tot_mub_per_atom": 0.000,
  "lattice_angstrom": [[1.988, -11.732, 0.000], [1.988, 11.732, 0.000], [0.000, 0.000, 4.209]],
  "species": ["Pm", "Pm", "Pm", "Pm", "Zn", "Zn", "S", "S"],
  "fractional_positions": [[0.074, 0.926, 0.750], [0.312, 0.688, 0.750], [0.688, 0.312, 0.250], [0.926, 0.074, 0.250], [0.463, 0.537, 0.750], [0.537, 0.463, 0.250], [0.193, 0.807, 0.750], [0.807, 0.193, 0.250]]
}